# Th2Nb2Fe15 (PBE, optimized geometry)
# Calculated total energy in eV/atom: -8.563
# Formation energy in eV/f.u.: -0.78
data_Th2Nb2Fe15
_cell_length_a 8.5600
_cell_length_b 8.5600
_cell_length_c 12.8037
_cell_angle_alpha 90.00
_cell_angle_beta 90.00
_cell_angle_gamma 120.00
_space_group_name_H-M_alt 'R -3 m'
_space_group_IT_number 166
_space_group_name_Hall '-R 3 2"'
loop_
_atom_site_label
_atom_site_fract_x
_atom_site_fract_y
_atom_site_fract_z
Th1 0.0000 0.0000 0.1500
Nb1 0.0000 0.0000 0.3975
Fe1 0.0000 0.3010 0.5000
Fe2 0.0000 0.5000 0.0000
Fe3 0.0032 0.5016 0.6577


# Ho2OsC (PBE, optimized geometry)
# Calculated total energy in eV/atom: -7.279
# Formation energy in eV/f.u.: 0.49
data_Ho2OsC
_cell_length_a 3.4040
_cell_length_b 3.4040
_cell_length_c 21.8145
_cell_angle_alpha 90.00
_cell_angle_beta 90.00
_cell_angle_gamma 120.00
_space_group_name_H-M_alt 'R -3 m'
_space_group_IT_number 166
_space_group_name_Hall '-R 3 2"'
loop_
_atom_site_label
_atom_site_fract_x
_atom_site_fract_y
_atom_site_fract_z
Ho1 0.0000 0.0000 0.2327
Os1 0.0000 0.0000 0.0000
C1 0.0000 0.0000 0.5000


# BaNbPtC2 (PBE, optimized geometry)
# Calculated total energy in eV/atom: -5.763
# Formation energy in eV/f.u.: 7.67
data_BaNbPtC2
_cell_length_a 4.178
_cell_length_b 4.178
_cell_length_c 9.937
_cell_angle_alpha 90.00
_cell_angle_beta 90.00
_cell_angle_gamma 90.00
_space_group_name_H-M_alt 'P 4/m m m'
_space_group_IT_number 123
_space_group_name_Hall '-P 4 2'
loop_
_atom_site_label
_atom_site_fract_x
_atom_site_fract_y
_atom_site_fract_z
Ba1 0.000 0.000 0.000
Nb1 0.000 0.000 0.500
Pt1 0.500 0.500 0.000
C1 0.000 0.500 0.500


# Tb14PuMg (PBE, optimized geometry)
# Calculated total energy in eV/atom: -5.014
# Formation energy in eV/f.u.: 0.53
data_Tb14PuMg
_cell_length_a 9.976
_cell_length_b 9.969
_cell_length_c 9.970
_cell_angle_alpha 90.00
_cell_angle_beta 90.00
_cell_angle_gamma 90.00
_space_group_name_H-M_alt 'A m m 2'
_space_group_IT_number 38
loop_
_space_group_symop_operation_xyz
'x,y,z'
'-x,-y,z'
'-x,y,z'
'x,-y,z'
'x,y+1/2,z+1/2'
'-x,-y+1/2,z+1/2'
'-x,y+1/2,z+1/2'
'x,-y+1/2,z+1/2'
loop_
_atom_site_label
_atom_site_fract_x
_atom_site_fract_y
_atom_site_fract_z
Tb1 0.000 0.000 0.000
Tb2 0.000 0.000 0.500
Tb3 0.000 0.250 0.250
Tb4 0.254 0.000 0.252
Tb5 0.255 0.000 0.748
Tb6 0.255 0.248 0.500
Tb7 0.500 0.250 0.250
Pu1 0.500 0.000 0.500
Mg1 0.500 0.000 0.001


# RbPaPb2O5 (PBE, optimized geometry)
# Calculated total energy in eV/atom: -6.853
# Formation energy from raw total energies in eV/f.u.: -19.01
data_RbPaPb2O5
_cell_length_a 4.437
_cell_length_b 6.355
_cell_length_c 12.195
_cell_angle_alpha 90.00
_cell_angle_beta 90.00
_cell_angle_gamma 90.00
_space_group_name_H-M_alt 'I m m m'
_space_group_IT_number 71
_space_group_name_Hall '-I 2 2'
loop_
_atom_site_label
_atom_site_fract_x
_atom_site_fract_y
_atom_site_fract_z
Rb1 0.000 0.000 0.000
Pa1 0.000 0.000 0.500
Pb1 0.000 0.500 0.234
O1 0.000 0.234 0.368
O2 0.000 0.500 0.000


# LiYSi2 (PBE, optimized geometry)
# Offset from the most stable computed form in meV/atom: 269
# Calculated total energy in eV/atom: -5.116
# Formation energy from raw total energies in eV/f.u.: -1.24
data_LiYSi2
_cell_length_a 5.837
_cell_length_b 5.877
_cell_length_c 8.475
_cell_angle_alpha 90.00
_cell_angle_beta 90.00
_cell_angle_gamma 90.00
_space_group_name_H-M_alt 'F m m m'
_space_group_IT_number 69
_space_group_name_Hall '-F 2 2'
loop_
_atom_site_label
_atom_site_fract_x
_atom_site_fract_y
_atom_site_fract_z
Li1 0.000 0.000 0.000
Y1 0.000 0.000 0.500
Si1 0.250 0.250 0.250